No. 1
Here is a geometry-optimized NaCaIn2Ir structure from Alexandria via LeMat-Bulk. Energies are from PBE.

Computed properties:
The value obtained for the formation energy is -20.55 kJ/mol of atoms. The density is 5.41 Mg/m³. As for the uncorrected energy: -3.745 eV/atom.

Lattice parameters (Å, degrees): 5.2358 5.2358 5.4293 90.00 90.00 90.00
Last column: nearest neighbours and their distance in Å.
Space group P4/mmm (No. 123)
Asymmetric unit:
Na 0.0000 0.0000 0.0000 [1 per cell]  4 Ca 3.70, 8 In 3.77
Ca 0.5000 0.5000 0.0000 [1 per cell]  2 Ir 2.71
In 0.0000 0.5000 0.5000 [2 per cell]  2 Ir 2.62
Ir 0.5000 0.5000 0.5000 [1 per cell]  4 In 2.62, 2 Ca 2.71

No. 2
Here is a geometry-optimized CaNdInIr structure from Alexandria via LeMat-Bulk. Energies are from PBE.

Computed properties:
The value obtained for the formation energy is -35.19 kJ/mol of atoms. The density is 8.39 Mg/m³. As for the uncorrected energy: -4.957 eV/atom.

Lattice parameters (Å, degrees): 7.2995 7.2995 7.2995 90.00 90.00 90.00
Last column: nearest neighbours and their distance in Å.
Space group F-43m (No. 216)
Asymmetric unit:
Ca 0.0000 0.0000 0.0000 [4 per cell]  4 In 3.16, 4 Ir 3.16
Nd 0.0000 0.0000 0.5000 [4 per cell]  4 In 3.16, 4 Ir 3.16
In 0.2500 0.2500 0.7500 [4 per cell]  4 Nd 3.16, 4 Ca 3.16
Ir 0.2500 0.2500 0.2500 [4 per cell]  4 Nd 3.16, 4 Ca 3.16

No. 3
Here is a geometry-optimized CaInIrO6 structure from Alexandria via LeMat-Bulk. Energies are from PBE.

Computed properties:
The density is 5.88 Mg/m³. As for the uncorrected energy: -6.153 eV/atom. The uncorrected formation energy is -1336 meV/atom.

Lattice parameters (Å, degrees): 5.4561 5.4561 9.7142 90.00 90.00 120.00
Last column: nearest neighbours and their distance in Å.
Space group P-31c (No. 163)
Asymmetric unit:
Ca 0.0000 0.0000 0.0000 [2 per cell]  6 O 2.40
In 0.3333 0.6667 0.2500 [2 per cell]  6 O 2.19
Ir 0.3333 0.6667 0.7500 [2 per cell]  6 O 1.93
O 0.0362 0.3803 0.6387 [12 per cell]  1 Ir 1.93